[1]
The following is a DFT calculation (GGA-PBEsol) of crystalline SrCaPt2 at its relaxed geometry.

## Properties
* SG: P4/mmm
* E: -0.189 Ha/atom

```
SrCaPt2
1.0
4.981 0.000 0.000
0.000 4.981 0.000
0.000 0.000 3.532
Sr Ca Pt
1 1 2
Direct
0.000 0.000 0.000
0.500 0.500 0.000
0.000 0.500 0.500
0.500 0.000 0.500
```



[2]
The following is a DFT calculation (GGA-PBEsol) of crystalline ScCuAg2 at its relaxed geometry.

## Properties
* SG: I-4m2
* E: -0.168 Ha/atom

```
ScCuAg2
1.0
4.066 0.000 0.000
0.000 4.066 0.000
0.000 0.000 7.867
Sc Cu Ag
2 2 4
Direct
0.000 0.000 0.000
0.500 0.500 0.500
0.000 0.500 0.750
0.500 0.000 0.250
0.000 0.000 0.500
0.000 0.500 0.250
0.500 0.000 0.750
0.500 0.500 0.000
```



[3]
The following is a DFT calculation (GGA-PBEsol) of crystalline Mg2Zr5O12 at its relaxed geometry.

## Properties
* SG: P-1
* energy relative to the elements, uncorrected: -3.2918 eV per atom

```
Mg2Zr5O12
1.0
6.046 0.000 0.000
-0.955 6.082 0.000
-2.018 -2.399 11.971
Mg Zr O
4 10 24
Direct
0.098 0.138 0.409
0.360 0.680 0.953
0.640 0.320 0.047
0.902 0.862 0.591
0.114 0.146 0.911
0.178 0.389 0.681
0.202 0.384 0.180
0.365 0.700 0.448
0.486 0.993 0.752
0.514 0.007 0.248
0.635 0.300 0.552
0.798 0.616 0.820
0.822 0.611 0.319
0.886 0.854 0.089
0.052 0.414 0.835
0.071 0.813 0.459
0.076 0.820 0.956
0.088 0.420 0.340
0.162 0.064 0.712
0.189 0.052 0.191
0.313 0.422 0.039
0.328 0.452 0.547
0.412 0.674 0.781
0.430 0.681 0.285
0.436 0.081 0.410
0.441 0.108 0.910
0.559 0.892 0.090
0.564 0.919 0.590
0.570 0.319 0.715
0.588 0.326 0.219
0.672 0.548 0.453
0.687 0.578 0.961
0.811 0.948 0.809
0.838 0.936 0.288
0.912 0.580 0.660
0.924 0.180 0.044
0.929 0.187 0.541
0.948 0.586 0.165
```



no.,DOS(E_F) (states/eV per atom)
1,0.3677
2,0.4683
3,0.0000